Record 1
Below is crystalline ScIn2 at its relaxed geometry, with properties calculated at the PBE level.

Geometry as CIF:
```
data_ScIn2
_cell_length_a 6.761
_cell_length_b 6.761
_cell_length_c 6.761
_cell_angle_alpha 151.22
_cell_angle_beta 151.22
_cell_angle_gamma 41.16
_symmetry_space_group_name_H-M 'P 1'
_symmetry_Int_Tables_number 1
loop_
_symmetry_equiv_pos_as_xyz
'x,y,z'
loop_
_atom_site_label
_atom_site_fract_x
_atom_site_fract_y
_atom_site_fract_z
_atom_site_occupancy
Sc1 0.000 0.000 0.000 1
In1 0.338 0.338 0.000 1
In2 0.662 0.662 0.000 1
```

Record 2
Below is crystalline ScIn3 at its relaxed geometry, with properties calculated at the PBE level.

Geometry as CIF:
```
data_ScIn3
_cell_length_a 6.125
_cell_length_b 6.125
_cell_length_c 6.125
_cell_angle_alpha 146.20
_cell_angle_beta 61.67
_cell_angle_gamma 130.06
_symmetry_space_group_name_H-M 'P 1'
_symmetry_Int_Tables_number 1
loop_
_symmetry_equiv_pos_as_xyz
'x,y,z'
loop_
_atom_site_label
_atom_site_fract_x
_atom_site_fract_y
_atom_site_fract_z
_atom_site_occupancy
Sc1 0.000 0.000 0.000 1
In1 0.099 0.355 0.744 1
In2 0.486 0.986 0.500 1
In3 0.612 0.355 0.256 1
```

Record 3
Below is crystalline Sc2In3 at its relaxed geometry, with properties calculated at the PBE level.

Geometry as CIF:
```
data_Sc2In3
_cell_length_a 12.570
_cell_length_b 12.570
_cell_length_c 12.570
_cell_angle_alpha 15.41
_cell_angle_beta 15.41
_cell_angle_gamma 15.41
_symmetry_space_group_name_H-M 'P 1'
_symmetry_Int_Tables_number 1
loop_
_symmetry_equiv_pos_as_xyz
'x,y,z'
loop_
_atom_site_label
_atom_site_fract_x
_atom_site_fract_y
_atom_site_fract_z
_atom_site_occupancy
Sc1 0.102 0.102 0.102 1
Sc2 0.898 0.898 0.898 1
In1 0.298 0.298 0.298 1
In2 0.500 0.500 0.500 1
In3 0.702 0.702 0.702 1
```

Record 4
Below is crystalline Sc3In at its relaxed geometry, with properties calculated at the PBE level.

Geometry as CIF:
```
data_Sc3In
_cell_length_a 3.327
_cell_length_b 4.473
_cell_length_c 6.326
_cell_angle_alpha 90.00
_cell_angle_beta 90.00
_cell_angle_gamma 90.00
_symmetry_space_group_name_H-M 'P 1'
_symmetry_Int_Tables_number 1
loop_
_symmetry_equiv_pos_as_xyz
'x,y,z'
loop_
_atom_site_label
_atom_site_fract_x
_atom_site_fract_y
_atom_site_fract_z
_atom_site_occupancy
Sc1 0.000 0.000 0.000 1
Sc2 0.500 0.500 0.247 1
Sc3 0.500 0.500 0.753 1
In1 0.000 0.000 0.500 1
```

Record 5
Below is crystalline ScIn at its relaxed geometry, with properties calculated at the PBE level.

Geometry as CIF:
```
data_ScIn
_cell_length_a 8.117
_cell_length_b 8.117
_cell_length_c 8.117
_cell_angle_alpha 90.00
_cell_angle_beta 90.00
_cell_angle_gamma 90.00
_symmetry_space_group_name_H-M 'P 1'
_symmetry_Int_Tables_number 1
loop_
_symmetry_equiv_pos_as_xyz
'x,y,z'
loop_
_atom_site_label
_atom_site_fract_x
_atom_site_fract_y
_atom_site_fract_z
_atom_site_occupancy
Sc1 0.000 0.250 0.500 1
Sc2 0.000 0.750 0.500 1
Sc3 0.250 0.500 0.000 1
Sc4 0.500 0.000 0.250 1
Sc5 0.500 0.000 0.750 1
Sc6 0.750 0.500 0.000 1
In1 0.000 0.500 0.250 1
In2 0.000 0.500 0.750 1
In3 0.250 0.000 0.500 1
In4 0.500 0.250 0.000 1
In5 0.500 0.750 0.000 1
In6 0.750 0.000 0.500 1
```

Record 6
Below is crystalline Sc4In at its relaxed geometry, with properties calculated at the PBE level.

Geometry as CIF:
```
data_Sc4In
_cell_length_a 11.128
_cell_length_b 11.128
_cell_length_c 11.128
_cell_angle_alpha 162.92
_cell_angle_beta 162.92
_cell_angle_gamma 24.25
_symmetry_space_group_name_H-M 'P 1'
_symmetry_Int_Tables_number 1
loop_
_symmetry_equiv_pos_as_xyz
'x,y,z'
loop_
_atom_site_label
_atom_site_fract_x
_atom_site_fract_y
_atom_site_fract_z
_atom_site_occupancy
Sc1 0.095 0.095 0.000 1
Sc2 0.302 0.302 0.000 1
Sc3 0.698 0.698 0.000 1
Sc4 0.905 0.905 0.000 1
In1 0.500 0.500 0.000 1
```

Going through the records in order, we get calculated formation energy values of -56, -83, -92, -86, 159, -80 kJ/mol of formula units.
Going through the records in order, we get DFT total energy values of -12.39, -15.41, -21.83, -22.62, -44.55, -28.89 eV for the cell shown.